## K2Zn4Ag5 (PBE)

Data for crystalline K2Zn4Ag5 at its relaxed geometry.

Cell lengths 6.0922, 6.0165, 8.5503 Å; angles 79.61, 69.13, 59.58 degrees
Closest atoms and distances in Å follow each position.
Fractional positions:
Zn 0.7816 0.6971 0.7397  5 Ag 2.61-2.77
Zn 0.5213 0.6971 0.2603  5 Ag 2.61-2.77
Zn 0.4787 0.3029 0.7397  5 Ag 2.61-2.77
Zn 0.2184 0.3029 0.2603  5 Ag 2.61-2.77
K 0.1357 0.0000 0.7286  6 Zn 3.43-3.62, 10 Ag 3.52-3.74
K 0.8643 0.0000 0.2714  6 Zn 3.43-3.62, 10 Ag 3.52-3.74
Ag 0.5000 0.0000 0.0000  4 Zn 2.61
Ag 0.5000 0.5000 0.0000  4 Zn 2.77, 4 Ag 3.01-3.05
Ag 0.2500 0.5000 0.5000  4 Zn 2.65
Ag 0.7500 0.5000 0.5000  4 Zn 2.65
Ag 0.0000 0.5000 0.0000  4 Zn 2.77, 4 Ag 3.01-3.05

Properties
Crystal system: orthorhombic
ΔH_f (0 K) (kJ per mole of atoms): 2

## Na2TlVBr6 (PBE)

Data for crystalline Na2TlVBr6 at its relaxed geometry.

Cell lengths 7.3952, 7.3960, 7.9596 Å; angles 62.31, 62.31, 59.98 degrees
Closest atoms and distances in Å follow each position.
Fractional positions:
Br 0.1435 0.3814 0.7793  1 V 2.58
Br 0.6958 0.1433 0.7795  1 V 2.58
Br 0.5486 0.2548 0.2253  1 V 2.57
Br 0.3814 0.6957 0.7794  1 V 2.58
Br 0.9711 0.5488 0.2252  1 V 2.57
Br 0.2547 0.9712 0.2254  1 V 2.57
Tl 0.8122 0.8124 0.5631  6 Br 3.18-3.47
Na 0.0031 0.0031 0.9913  6 Br 2.94-3.06
Na 0.5222 0.5220 0.4339  6 Br 3.01-3.10
V 0.3290 0.3291 0.0127  6 Br 2.57-2.58

Properties
Crystal system: trigonal
Formation energy without anion corrections (eV per formula unit): -11.02

## HfAlBi3 (PBE)

Data for crystalline HfAlBi3 at its relaxed geometry.

Cell lengths 5.6528, 5.6528, 5.6528 Å; angles 90.00, 90.00, 90.00 degrees
Closest atoms and distances in Å follow each position.
Fractional positions:
Al 0.5000 0.5000 0.5000  12 Bi 4.00
Bi 0.0000 0.0000 0.5000  2 Hf 2.83
Bi 0.0000 0.5000 0.0000  2 Hf 2.83
Bi 0.5000 0.0000 0.0000  2 Hf 2.83
Hf 0.0000 0.0000 0.0000  6 Bi 2.83

Properties
Crystal system: cubic
Excess energy over the best structure of this formula in the dataset (eV/atom): 0.000
ΔH_f (0 K) (kJ per mole of atoms): 48

## CdIn2Au (PBE)

Data for crystalline CdIn2Au at its relaxed geometry.

Cell lengths 5.0880, 5.0880, 5.0880 Å; angles 60.00, 60.00, 60.00 degrees
Closest atoms and distances in Å follow each position.
Fractional positions:
In 0.2500 0.2500 0.2500  4 Au 3.12, 4 In 3.12
In 0.0000 0.0000 0.0000  4 In 3.12, 4 Cd 3.12
Cd 0.7500 0.7500 0.7500  4 In 3.12, 4 Au 3.12
Au 0.5000 0.5000 0.5000  4 Cd 3.12, 4 In 3.12

Properties
Crystal system: cubic
ΔH_f (0 K) (kJ per mole of atoms): -1

## Pm3Sm3Mg (PBE)

Data for crystalline Pm3Sm3Mg at its relaxed geometry.

Cell lengths 6.2779, 6.2779, 14.6726 Å; angles 77.65, 77.65, 60.00 degrees
Closest atoms and distances in Å follow each position.
Fractional positions:
Pm 0.5361 0.2025 0.3919  3 Sm 3.57-3.58, 9 Pm 3.62-3.72
Pm 0.7975 0.1305 0.6081  3 Sm 3.57-3.58, 9 Pm 3.62-3.72
Pm 0.1305 0.4639 0.6081  3 Sm 3.57-3.58, 9 Pm 3.62-3.72
Pm 0.8695 0.5361 0.3919  3 Sm 3.57-3.58, 9 Pm 3.62-3.72
Pm 0.2025 0.8695 0.3919  3 Sm 3.57-3.58, 9 Pm 3.62-3.72
Pm 0.4639 0.7975 0.6081  3 Sm 3.57-3.58, 9 Pm 3.62-3.72
Sm 0.7284 0.3968 0.8121  2 Mg 3.39, 3 Pm 3.57-3.58, 6 Sm 3.62-3.63
Sm 0.3968 0.0626 0.8121  2 Mg 3.39, 3 Pm 3.57-3.58, 6 Sm 3.62-3.63
Sm 0.9374 0.2716 0.1879  2 Mg 3.39, 3 Pm 3.57-3.58, 6 Sm 3.62-3.63
Sm 0.2716 0.6032 0.1879  2 Mg 3.39, 3 Pm 3.57-3.58, 6 Sm 3.62-3.63
Sm 0.0626 0.7284 0.8121  2 Mg 3.39, 3 Pm 3.57-3.58, 6 Sm 3.62-3.63
Sm 0.6032 0.9374 0.1879  2 Mg 3.39, 3 Pm 3.57-3.58, 6 Sm 3.62-3.63
Mg 0.6667 0.6667 0.0000  6 Sm 3.39, 3 Mg 3.62
Mg 0.3333 0.3333 0.0000  6 Sm 3.39, 3 Mg 3.62

Properties
Crystal system: trigonal
Excess energy over the best structure of this formula in the dataset (eV/atom): 0.084
ΔH_f (0 K) (kJ per mole of atoms): 10

## YZrCl2 (PBE)

Data for crystalline YZrCl2 at its relaxed geometry.

Cell lengths 10.1126, 10.1126, 10.1126 Å; angles 20.38, 20.38, 20.38 degrees
Closest atoms and distances in Å follow each position.
Fractional positions:
Y 0.5009 0.5009 0.5009  3 Cl 2.75
Zr 0.7470 0.7470 0.7470  3 Cl 2.67
Cl 0.0234 0.0234 0.0234  3 Zr 2.67
Cl 0.2288 0.2288 0.2288  3 Y 2.75

Properties
Crystal system: trigonal
Excess energy over the best structure of this formula in the dataset (eV/atom): 0.000
Formation energy without anion corrections (eV per formula unit): -5.32